# 1
This record from the Alexandria database describes an optimized crystal structure of K2TcAgBr6. The functional is PBE-GGA.

The space-group type is R-3m (166).

a b c (Å): 7.4747 7.4747 14.0252
angles (deg): 74.55 74.55 60.00
Last column: nearest neighbours and their distance in Å.
Element x y z (fractional)
K: 0.8697 0.8697 0.3909  9 Br 3.68-3.74
K: 0.1303 0.1303 0.6091  9 Br 3.68-3.74
K: 0.6951 0.6951 0.9147  9 Br 3.46-3.76
K: 0.3049 0.3049 0.0853  9 Br 3.46-3.76
Tc: 0.0000 0.0000 0.0000  6 Br 2.57
Tc: 0.5000 0.5000 0.5000  6 Br 2.58
Ag: 0.5847 0.5847 0.2460  6 Br 2.84-2.85
Ag: 0.4153 0.4153 0.7540  6 Br 2.84-2.85
Br: 0.8627 0.3744 0.3886  1 Tc 2.58, 1 Ag 2.84
Br: 0.3744 0.8627 0.3886  1 Tc 2.58, 1 Ag 2.84
Br: 0.3744 0.3744 0.3886  1 Tc 2.58, 1 Ag 2.84
Br: 0.1373 0.6256 0.6114  1 Tc 2.58, 1 Ag 2.84
Br: 0.6256 0.1373 0.6114  1 Tc 2.58, 1 Ag 2.84
Br: 0.6256 0.6256 0.6114  1 Tc 2.58, 1 Ag 2.84
Br: 0.7160 0.1985 0.8870  1 Tc 2.57, 1 Ag 2.85
Br: 0.1985 0.7160 0.8870  1 Tc 2.57, 1 Ag 2.85
Br: 0.1985 0.1985 0.8870  1 Tc 2.57, 1 Ag 2.85
Br: 0.2840 0.8015 0.1130  1 Tc 2.57, 1 Ag 2.85
Br: 0.8015 0.2840 0.1130  1 Tc 2.57, 1 Ag 2.85
Br: 0.8015 0.8015 0.1130  1 Tc 2.57, 1 Ag 2.85

# 2
This record from the Alexandria database describes an optimized crystal structure of KAgTeBr6. The functional is PBE-GGA.

The space-group type is C2 (5).

a b c (Å): 7.4153 7.4147 7.1513
angles (deg): 90.46 89.53 59.32
Last column: nearest neighbours and their distance in Å.
Element x y z (fractional)
K: 0.0017 0.0018 0.0000  6 Br 3.37-3.40
Ag: 0.6672 0.6672 0.5000  6 Br 2.84-2.93
Te: 0.3342 0.3342 0.5000  6 Br 2.74-2.77
Br: 0.0137 0.3649 0.2814  1 Te 2.77, 1 Ag 2.84
Br: 0.3649 0.0136 0.7187  1 Te 2.77, 1 Ag 2.84
Br: 0.6225 0.3589 0.7185  1 Te 2.74, 1 Ag 2.93
Br: 0.0146 0.6223 0.7276  1 Te 2.75, 1 Ag 2.93
Br: 0.3588 0.6226 0.2814  1 Te 2.74, 1 Ag 2.93
Br: 0.6222 0.0146 0.2724  1 Te 2.75, 1 Ag 2.93

# 3
This record from the Alexandria database describes an optimized crystal structure of K2TiAgBr6. The functional is PBE-GGA.

The space-group type is R-3m (166).

a b c (Å): 7.5511 7.5511 13.9353
angles (deg): 74.28 74.28 60.00
Last column: nearest neighbours and their distance in Å.
Element x y z (fractional)
K: 0.8699 0.8699 0.3904  9 Br 3.67-3.78
K: 0.1301 0.1301 0.6096  9 Br 3.67-3.78
K: 0.6965 0.6965 0.9105  9 Br 3.51-3.79
K: 0.3035 0.3035 0.0895  9 Br 3.51-3.79
Ti: 0.0000 0.0000 0.0000  6 Br 2.60
Ti: 0.5000 0.5000 0.5000  6 Br 2.61
Ag: 0.5841 0.5841 0.2478  6 Br 2.84-2.86
Ag: 0.4159 0.4159 0.7522  6 Br 2.84-2.86
Br: 0.8667 0.3726 0.3881  1 Ti 2.61, 1 Ag 2.84
Br: 0.3726 0.8667 0.3881  1 Ti 2.61, 1 Ag 2.84
Br: 0.3726 0.3726 0.3881  1 Ti 2.61, 1 Ag 2.84
Br: 0.1333 0.6274 0.6119  1 Ti 2.61, 1 Ag 2.84
Br: 0.6274 0.1333 0.6119  1 Ti 2.61, 1 Ag 2.84
Br: 0.6274 0.6274 0.6119  1 Ti 2.61, 1 Ag 2.84
Br: 0.7152 0.1996 0.8856  1 Ti 2.60, 1 Ag 2.86
Br: 0.1996 0.7152 0.8856  1 Ti 2.60, 1 Ag 2.86
Br: 0.1996 0.1996 0.8856  1 Ti 2.60, 1 Ag 2.86
Br: 0.2848 0.8004 0.1144  1 Ti 2.60, 1 Ag 2.86
Br: 0.8004 0.2848 0.1144  1 Ti 2.60, 1 Ag 2.86
Br: 0.8004 0.8004 0.1144  1 Ti 2.60, 1 Ag 2.86

# 4
This record from the Alexandria database describes an optimized crystal structure of K2TlAg2Br6. The functional is PBE-GGA.

The space-group type is C2/m (12).

a b c (Å): 8.0775 8.2563 7.7874
angles (deg): 114.81 90.00 119.29
Last column: nearest neighbours and their distance in Å.
Element x y z (fractional)
K: 0.7379 0.4758 0.1773  5 Br 3.27-3.41
K: 0.2621 0.5242 0.8227  5 Br 3.27-3.41
Tl: 0.5000 0.0000 0.5000  6 Br 3.03-3.07
Ag: 0.9359 0.8719 0.7885  3 Br 2.57-2.66
Ag: 0.0641 0.1281 0.2115  3 Br 2.57-2.66
Br: 0.7323 0.4645 0.5915  1 Ag 2.57
Br: 0.1747 0.8630 0.1780  1 Ag 2.66
Br: 0.3117 0.1370 0.8220  1 Ag 2.66
Br: 0.8253 0.1370 0.8220  1 Ag 2.66
Br: 0.6883 0.8630 0.1780  1 Ag 2.66
Br: 0.2677 0.5355 0.4085  1 Ag 2.57

| no. | ΔE_f (raw) (eV/atom) |
| --- | --- |
| 1 | -0.84 |
| 2 | -0.66 |
| 3 | -1.21 |
| 4 | -0.88 |